Here is a relaxed SrSbMo2 crystal from the Alexandria database. Energies are from PBE.

```
SrSbMo2
1.0
-3.1957 -2.5175 2.7021
-0.1642 -3.4830 -3.4196
4.2861 1.3556 1.9087
Mo Sb Sr
2 1 1
Direct
0.0000 0.0000 0.0000
0.2500 0.7500 0.5000
0.5000 0.5000 0.0000
0.7500 0.2500 0.5000
```

Summary:
SG: I-4m2, No. 119
ρ: 8.10 g/cm3
energy relative to the elements, uncorrected: 616.2 meV/atom

=====

Here is a relaxed SrSb2Mo crystal from the Alexandria database. Energies are from PBE.

```
SrSb2Mo
1.0
7.6883 -0.2045 -0.1233
6.6284 3.9008 -0.1233
6.6284 1.7113 3.5075
Mo Sb Sr
1 2 1
Direct
0.7500 0.7500 0.7500
0.0188 0.0188 0.0188
0.4812 0.4812 0.4812
0.2500 0.2500 0.2500
```

Summary:
SG: R-3m, No. 166
energy above the most stable polymorph in this dataset: 4.51 kJ per mole of atoms
ρ: 6.25 g/cm3
energy relative to the elements, uncorrected: -166.9 meV/atom

=====

Here is a relaxed SrSb2Mo crystal from the Alexandria database. Energies are from PBE.

```
SrSb2Mo
1.0
5.2314 0.0000 0.0000
2.6157 4.5306 0.0000
2.6157 1.5102 4.2714
Mo Sr Sb
1 1 2
Direct
0.5000 0.5000 0.5000
0.7500 0.7500 0.7500
0.2500 0.2500 0.2500
0.0000 0.0000 0.0000
```

Summary:
SG: F-43m, No. 216
energy above the most stable polymorph in this dataset: 69.50 kJ per mole of atoms
ρ: 7.01 g/cm3
energy relative to the elements, uncorrected: 506.6 meV/atom

=====

Here is a relaxed SrSbMo2 crystal from the Alexandria database. Energies are from PBE.

```
SrSbMo2
1.0
-0.6119 3.1540 0.9082
-1.1386 0.6625 -3.0679
-7.5136 -2.1283 2.3291
Mo Sr Sb
2 1 1
Direct
0.0000 0.0000 0.0696
0.5000 0.5000 0.2211
0.5000 0.5000 0.7698
0.0000 0.0000 0.4395
```

Summary:
SG: P4mm, No. 99
ρ: 7.33 g/cm3
energy relative to the elements, uncorrected: 191.6 meV/atom

=====

Here is a relaxed SrSb2Mo crystal from the Alexandria database. Energies are from PBE.

```
SrSb2Mo
1.0
4.5811 -0.0088 0.0019
2.9981 3.4638 0.0019
2.8666 1.3067 6.8498
Sr Sb Mo
1 2 1
Direct
0.5292 0.5292 0.4909
0.9532 0.9532 0.1757
0.7045 0.7045 0.8123
0.3131 0.3131 0.0211
```

Summary:
SG: Cm, No. 8
energy above the most stable polymorph in this dataset: 7.55 kJ per mole of atoms
ρ: 6.52 g/cm3
energy relative to the elements, uncorrected: -135.4 meV/atom

=====

Here is a relaxed SrSb2Mo crystal from the Alexandria database. Energies are from PBE.

```
SrSb2Mo
1.0
-3.9720 1.4757 -3.4304
0.9218 -4.1578 -3.4038
-1.4700 0.0787 5.2493
Sb Sr Mo
2 1 1
Direct
0.4657 0.4657 0.0000
0.0343 0.0343 0.0000
0.7500 0.2500 0.5000
0.2500 0.7500 0.5000
```

Summary:
SG: Immm, No. 71
energy above the most stable polymorph in this dataset: 25.82 kJ per mole of atoms
ρ: 6.65 g/cm3
energy relative to the elements, uncorrected: 54.0 meV/atom

=====

Here is a relaxed SrSb2Mo crystal from the Alexandria database. Energies are from PBE.

```
SrSb2Mo
1.0
-1.5888 -0.4860 -4.3674
-0.8255 -3.8276 -2.5502
-6.5860 -1.0933 0.7558
Sb Mo Sr
2 1 1
Direct
0.5186 0.5186 0.4275
0.9814 0.9814 0.0725
0.2500 0.2500 0.2500
0.7500 0.7500 0.7500
```

Summary:
SG: C2/m, No. 12
energy above the most stable polymorph in this dataset: 7.81 kJ per mole of atoms
ρ: 6.65 g/cm3
energy relative to the elements, uncorrected: -132.7 meV/atom

=====

Here is a relaxed SrSbMo2 crystal from the Alexandria database. Energies are from PBE.

```
SrSbMo2
1.0
5.1933 0.0000 0.0000
0.0000 3.4104 0.1033
0.0000 0.3229 5.7924
Sr Sb Mo
1 1 2
Direct
0.5000 0.7500 0.7500
0.5000 0.2500 0.2500
0.0000 0.4585 0.3976
0.0000 0.0415 0.1024
```

Summary:
SG: P2/m, No. 10
ρ: 6.51 g/cm3
energy relative to the elements, uncorrected: 563.1 meV/atom